No. 1
Compound: Li11Hg9Bi4
Source: Alexandria
Functional: GGA-PBE
Structure: relaxed

Output
Crystal system   orthorhombic
Density   8.82 g/cm3
VASP energy   -46.84 eV per cell
Space-group type   Cmmm (65)
Volume   512 Å³ per cell

a = 12.568 Å, b = 12.568 Å, c = 3.381 Å
α = 90.00°, β = 90.00°, γ = 106.66°
Fractional coordinates of all 24 atoms:
Li (0.000, 0.000, 0.000)
Li (0.041, 0.398, 0.000)
Li (0.178, 0.822, 0.000)
Li (0.213, 0.213, 0.000)
Li (0.360, 0.640, 0.000)
Li (0.398, 0.041, 0.000)
Li (0.602, 0.959, 0.000)
Li (0.640, 0.360, 0.000)
Li (0.787, 0.787, 0.000)
Li (0.822, 0.178, 0.000)
Li (0.959, 0.602, 0.000)
Hg (0.015, 0.196, 0.500)
Hg (0.149, 0.632, 0.500)
Hg (0.196, 0.015, 0.500)
Hg (0.368, 0.851, 0.500)
Hg (0.500, 0.500, 0.500)
Hg (0.632, 0.149, 0.500)
Hg (0.804, 0.985, 0.500)
Hg (0.851, 0.368, 0.500)
Hg (0.985, 0.804, 0.500)
Bi (0.242, 0.425, 0.500)
Bi (0.425, 0.242, 0.500)
Bi (0.575, 0.758, 0.500)
Bi (0.758, 0.575, 0.500)

No. 2
Compound: Li5Hg2Bi5
Source: Alexandria
Functional: GGA-PBE
Structure: relaxed

Output
Crystal system   monoclinic
Density   8.57 g/cm3
VASP energy   -32.90 eV per cell
Space-group type   C2/m (12)
Volume   287 Å³ per cell

a = 4.936 Å, b = 4.936 Å, c = 13.962 Å
α = 100.56°, β = 100.56°, γ = 59.63°
Fractional coordinates of all 12 atoms:
Li (0.000, 0.000, 0.000)
Li (0.136, 0.136, 0.421)
Li (0.405, 0.405, 0.219)
Li (0.595, 0.595, 0.781)
Li (0.864, 0.864, 0.579)
Hg (0.068, 0.068, 0.206)
Hg (0.932, 0.932, 0.794)
Bi (0.226, 0.226, 0.661)
Bi (0.300, 0.300, 0.920)
Bi (0.500, 0.500, 0.500)
Bi (0.700, 0.700, 0.080)
Bi (0.774, 0.774, 0.339)

No. 3
Compound: Li2Hg2Bi
Source: Alexandria
Functional: GGA-PBE
Structure: relaxed

Output
E above lowest polymorph   0.103 eV per atom
Crystal system   tetragonal
Density   8.98 g/cm3
VASP energy   -9.26 eV per cell
Space-group type   I4/mmm (139)
Volume   115 Å³ per cell

a = 7.324 Å, b = 7.324 Å, c = 7.324 Å
α = 147.11°, β = 147.11°, γ = 47.21°
Fractional coordinates of all 5 atoms:
Li (0.250, 0.750, 0.500)
Li (0.750, 0.250, 0.500)
Hg (0.117, 0.117, 0.000)
Hg (0.883, 0.883, 0.000)
Bi (0.500, 0.500, 0.000)

No. 4
Compound: LiHg3Bi3
Source: Alexandria
Functional: GGA-PBE
Structure: relaxed

Output
Crystal system   cubic
Density   7.18 g/cm3
VASP energy   -25.18 eV per cell
Space-group type   Pm-3n (223)
Volume   571 Å³ per cell

a = 8.297 Å, b = 8.297 Å, c = 8.297 Å
α = 90.00°, β = 90.00°, γ = 90.00°
Fractional coordinates of all 14 atoms:
Li (0.000, 0.000, 0.000)
Li (0.500, 0.500, 0.500)
Hg (0.000, 0.250, 0.500)
Hg (0.000, 0.750, 0.500)
Hg (0.250, 0.500, 0.000)
Hg (0.500, 0.000, 0.250)
Hg (0.500, 0.000, 0.750)
Hg (0.750, 0.500, 0.000)
Bi (0.000, 0.500, 0.250)
Bi (0.000, 0.500, 0.750)
Bi (0.250, 0.000, 0.500)
Bi (0.500, 0.250, 0.000)
Bi (0.500, 0.750, 0.000)
Bi (0.750, 0.000, 0.500)

No. 5
Compound: Li8HgBi6
Source: Alexandria
Functional: GGA-PBE
Structure: relaxed

Output
Crystal system   trigonal
Density   7.04 g/cm3
VASP energy   -42.93 eV per cell
Space-group type   R-3 (148)
Volume   356 Å³ per cell

a = 7.401 Å, b = 7.401 Å, c = 7.401 Å
α = 72.00°, β = 72.00°, γ = 72.00°
Fractional coordinates of all 15 atoms:
Li (0.124, 0.650, 0.451)
Li (0.213, 0.213, 0.213)
Li (0.350, 0.549, 0.876)
Li (0.451, 0.124, 0.650)
Li (0.549, 0.876, 0.350)
Li (0.650, 0.451, 0.124)
Li (0.787, 0.787, 0.787)
Li (0.876, 0.350, 0.549)
Hg (0.500, 0.500, 0.500)
Bi (0.058, 0.355, 0.843)
Bi (0.157, 0.942, 0.645)
Bi (0.355, 0.843, 0.058)
Bi (0.645, 0.157, 0.942)
Bi (0.843, 0.058, 0.355)
Bi (0.942, 0.645, 0.157)

No. 6
Compound: Li2Hg6Bi
Source: Alexandria
Functional: GGA-PBE
Structure: relaxed

Output
E above lowest polymorph   0.000 eV per atom
Crystal system   triclinic
Density   10.93 g/cm3
VASP energy   -10.85 eV per cell
Space-group type   P-1 (2)
Volume   217 Å³ per cell

a = 3.439 Å, b = 7.608 Å, c = 8.506 Å
α = 83.43°, β = 78.52°, γ = 89.30°
Fractional coordinates of all 9 atoms:
Li (0.062, 0.315, 0.368)
Li (0.938, 0.685, 0.632)
Hg (0.165, 0.960, 0.162)
Hg (0.289, 0.668, 0.921)
Hg (0.439, 0.377, 0.671)
Hg (0.561, 0.623, 0.329)
Hg (0.711, 0.332, 0.079)
Hg (0.835, 0.040, 0.838)
Bi (0.500, 0.000, 0.500)

No. 7
Compound: Li5Hg6Bi
Source: Alexandria
Functional: GGA-PBE
Structure: relaxed

Output
Crystal system   monoclinic
Density   9.63 g/cm3
VASP energy   -18.96 eV per cell
Space-group type   C2/m (12)
Volume   249 Å³ per cell

a = 8.262 Å, b = 8.262 Å, c = 4.746 Å
α = 106.62°, β = 106.62°, γ = 54.44°
Fractional coordinates of all 12 atoms:
Li (0.000, 0.000, 0.000)
Li (0.175, 0.175, 0.674)
Li (0.352, 0.352, 0.351)
Li (0.648, 0.648, 0.649)
Li (0.825, 0.825, 0.326)
Hg (0.036, 0.605, 0.821)
Hg (0.207, 0.793, 0.500)
Hg (0.395, 0.964, 0.179)
Hg (0.605, 0.036, 0.821)
Hg (0.793, 0.207, 0.500)
Hg (0.964, 0.395, 0.179)
Bi (0.500, 0.500, 0.000)

No. 8
Compound: LiHg2Bi
Source: Alexandria
Functional: GGA-PBE
Structure: relaxed

Output
Crystal system   tetragonal
Density   10.57 g/cm3
VASP energy   -6.92 eV per cell
Space-group type   P4/mmm (123)
Volume   97 Å³ per cell

a = 4.638 Å, b = 4.638 Å, c = 4.506 Å
α = 90.00°, β = 90.00°, γ = 90.00°
Fractional coordinates of all 4 atoms:
Li (0.000, 0.000, 0.000)
Hg (0.000, 0.500, 0.500)
Hg (0.500, 0.000, 0.500)
Bi (0.500, 0.500, 0.000)

No. 9
Compound: Li4Hg3Bi3
Source: Alexandria
Functional: GGA-PBE
Structure: relaxed

Output
Crystal system   cubic
Density   8.36 g/cm3
VASP energy   -44.93 eV per cell
Space-group type   I-43d (220)
Volume   499 Å³ per cell

a = 8.655 Å, b = 8.655 Å, c = 8.655 Å
α = 109.47°, β = 109.47°, γ = 109.47°
Fractional coordinates of all 20 atoms:
Li (0.000, 0.289, 0.500)
Li (0.000, 0.789, 0.500)
Li (0.211, 0.211, 0.211)
Li (0.289, 0.500, 0.000)
Li (0.500, 0.000, 0.289)
Li (0.500, 0.000, 0.789)
Li (0.711, 0.711, 0.711)
Li (0.789, 0.500, 0.000)
Hg (0.125, 0.875, 0.250)
Hg (0.250, 0.125, 0.875)
Hg (0.375, 0.625, 0.750)
Hg (0.625, 0.750, 0.375)
Hg (0.750, 0.375, 0.625)
Hg (0.875, 0.250, 0.125)
Bi (0.125, 0.750, 0.875)
Bi (0.250, 0.625, 0.375)
Bi (0.375, 0.250, 0.625)
Bi (0.625, 0.375, 0.250)
Bi (0.750, 0.875, 0.125)
Bi (0.875, 0.125, 0.750)

No. 10
Compound: LiHg3Bi2
Source: Alexandria
Functional: GGA-PBE
Structure: relaxed

Output
Crystal system   monoclinic
Density   10.46 g/cm3
VASP energy   -22.04 eV per cell
Space-group type   C2/c (15)
Volume   326 Å³ per cell

a = 7.584 Å, b = 7.584 Å, c = 6.093 Å
α = 102.49°, β = 102.49°, γ = 99.33°
Fractional coordinates of all 12 atoms:
Li (0.176, 0.824, 0.750)
Li (0.824, 0.176, 0.250)
Hg (0.128, 0.189, 0.642)
Hg (0.189, 0.128, 0.142)
Hg (0.430, 0.570, 0.750)
Hg (0.570, 0.430, 0.250)
Hg (0.811, 0.872, 0.858)
Hg (0.872, 0.811, 0.358)
Bi (0.142, 0.544, 0.274)
Bi (0.456, 0.858, 0.226)
Bi (0.544, 0.142, 0.774)
Bi (0.858, 0.456, 0.726)

No. 11
Compound: LiHgBi2
Source: Alexandria
Functional: GGA-PBE
Structure: relaxed

Output
Crystal system   tetragonal
Density   9.61 g/cm3
VASP energy   -10.49 eV per cell
Space-group type   I4/mmm (139)
Volume   108 Å³ per cell

a = 5.918 Å, b = 5.918 Å, c = 5.918 Å
α = 133.22°, β = 133.22°, γ = 68.30°
Fractional coordinates of all 4 atoms:
Li (0.000, 0.000, 0.000)
Hg (0.500, 0.500, 0.000)
Bi (0.250, 0.750, 0.500)
Bi (0.750, 0.250, 0.500)